## NaPr2US6 (GGA-PBE)

Data for NaPr2US6 after structural relaxation.

a b c (Å): 7.471 7.471 7.471
angles (deg): 56.87 56.87 56.87
Positions (direct):
Na1 0.000 0.000 0.000
Pr1 0.282 0.282 0.282
Pr2 0.793 0.793 0.793
U1 0.485 0.485 0.485
S1 0.111 0.678 0.398
S2 0.225 0.597 0.853
S3 0.398 0.111 0.678
S4 0.597 0.853 0.225
S5 0.678 0.398 0.111
S6 0.853 0.225 0.597

Properties
Raw formation energy (eV per atom): -1.64
Total moment (μB/atom): 0.100